Here is CoPtSe2 after structural relaxation from Alexandria via LeMat-Bulk. Energies are from PBE.

Formation energy from raw total energies ... 0.205 eV/atom
E_tot ... -4.82 eV per atom
Energy above the lowest structure with this stoichiometry ... 1.531 eV/f.u.

abc: 3.427 2.859 7.209
angles: 106.60 90.00 90.00
Each line ends with the local moment (μB).
Positions (direct):
Pt 0.500 0.750 0.750  -0.03
Se 0.000 0.664 0.473  0.01
Se 0.000 0.836 0.027  0.01
Co 0.500 0.250 0.250  0.79